1.
Density functional theory data (PBE-GGA) for a relaxed structure of Sr2YHgBi.

The formation energy comes out at 0.496 eV per atom. Its total magnetic moment is 0.250 μB/atom.

The space group is P4/mmm (No. 123) and the conventional cell measures 6.4128, 6.4128 and 5.5170 Å, with angles of 90.00, 90.00 and 90.00 degrees. The asymmetric unit holds Sr at (0.0000, 0.5000, 0.0000), Y at (0.0000, 0.0000, 0.0000), Hg at (0.0000, 0.0000, 0.5000) and Bi at (0.5000, 0.5000, 0.5000).

2.
Density functional theory data (PBE-GGA) for a relaxed structure of SrNi4Te.

Its total magnetic moment is 0.345 μB/atom. Its formation energy without anion corrections is 18 kJ/mol of formula units.

The space group is F-43m (No. 216) and the conventional cell measures 7.2831, 7.2831 and 7.2831 Å, with angles of 90.00, 90.00 and 90.00 degrees. The asymmetric unit holds Sr at (0.0000, 0.0000, 0.0000), Ni at (0.1249, 0.1249, 0.3751) and Te at (0.2500, 0.2500, 0.7500).

3.
Density functional theory data (PBE-GGA) for a relaxed structure of MoRh2.

The formation energy comes out at -0.152 eV per atom. Its total magnetic moment is 0.000 μB/atom.

The space group is P-62m (No. 189) and the conventional cell measures 7.4478, 7.4478 and 2.7706 Å, with angles of 90.00, 90.00 and 120.00 degrees. The asymmetric unit holds Mo at (0.0000, 0.0000, 0.0000), Mo at (0.3333, 0.6667, 0.5000), Rh at (0.0000, 0.3027, 0.5000) and Rh at (0.0000, 0.6400, 0.0000).

4.
Density functional theory data (PBE-GGA) for a relaxed structure of SiNiP.

Its total magnetic moment is 0.000 μB/atom. Its formation energy without anion corrections is -44 kJ/mol of formula units.

The space group is P1 (No. 1) and the conventional cell measures 2.8179, 3.7415 and 4.7916 Å, with angles of 76.86, 73.05 and 67.95 degrees. The asymmetric unit holds Si at (0.0000, 0.0000, 0.0000), Ni at (0.4011, 0.4594, 0.7380) and P at (0.7931, 0.9091, 0.5043).

5.
Density functional theory data (PBE-GGA) for a relaxed structure of Si2IrC.

Its total magnetic moment is 0.000 μB/atom. Its formation energy without anion corrections is 24 kJ/mol of formula units.

The space group is I-42d (No. 122) and the conventional cell measures 5.1906, 5.1906 and 8.3108 Å, with angles of 90.00, 90.00 and 90.00 degrees. The asymmetric unit holds Si at (0.1803, 0.2500, 0.1250), Ir at (0.0000, 0.0000, 0.5000) and C at (0.0000, 0.0000, 0.0000).

6.
Density functional theory data (PBE-GGA) for a relaxed structure of ZrMnN2.

Its total magnetic moment is 0.904 μB/atom. Its formation energy without anion corrections is -257 kJ/mol of formula units.

The space group is R-3m (No. 166, hexagonal axes) and the conventional cell measures 3.3493, 3.3493 and 17.6683 Å, with angles of 90.00, 90.00 and 120.00 degrees. The asymmetric unit holds Zr at (0.0000, 0.0000, 0.0000), Mn at (0.0000, 0.0000, 0.5000) and N at (0.0000, 0.0000, 0.3953).

7.
Density functional theory data (PBE-GGA) for a relaxed structure of BaIrW.

Its excess energy over the best structure of this formula in the dataset is 972 meV/atom. The formation energy comes out at 1.323 eV per atom. Its total magnetic moment is 0.000 μB/atom.

The space group is F-43m (No. 216) and the conventional cell measures 6.5796, 6.5796 and 6.5796 Å, with angles of 90.00, 90.00 and 90.00 degrees. The asymmetric unit holds Ba at (0.0000, 0.0000, 0.0000), Ir at (0.0000, 0.0000, 0.5000) and W at (0.2500, 0.2500, 0.2500).

8.
Density functional theory data (PBE-GGA) for a relaxed structure of InSnAsSe.

Its total magnetic moment is 0.000 μB/atom. Its formation energy without anion corrections is -105 kJ/mol of formula units.

The space group is P3m1 (No. 156) and the conventional cell measures 4.1165, 4.1165 and 8.5361 Å, with angles of 90.00, 90.00 and 120.00 degrees. The asymmetric unit holds In at (0.0000, 0.0000, 0.0000), Sn at (0.0000, 0.0000, 0.6662), As at (0.6667, 0.3333, 0.5223) and Se at (0.3333, 0.6667, 0.1467).

9.
Density functional theory data (PBE-GGA) for a relaxed structure of Li3In4Ru.

The formation energy comes out at -0.208 eV per atom. Its total magnetic moment is 0.000 μB/atom.

The space group is P4/mmm (No. 123) and the conventional cell measures 3.2801, 3.2801 and 14.0635 Å, with angles of 90.00, 90.00 and 90.00 degrees. The asymmetric unit holds Li at (0.0000, 0.0000, 0.0000), Li at (0.0000, 0.0000, 0.2679), In at (0.5000, 0.5000, 0.1393), In at (0.5000, 0.5000, 0.3887) and Ru at (0.0000, 0.0000, 0.5000).

10.
Density functional theory data (PBE-GGA) for a relaxed structure of KRb2TlAu2.

The formation energy comes out at -0.204 eV per atom. Its total magnetic moment is 0.000 μB/atom.

The space group is Pmc2_1 (No. 26) and the conventional cell measures 5.3210, 9.5458 and 8.7031 Å, with angles of 90.00, 90.00 and 90.00 degrees. The asymmetric unit holds K at (0.0000, 0.0438, 0.0000), Rb at (0.0000, 0.3369, 0.3518), Rb at (0.5000, 0.3841, 0.0079), Tl at (0.5000, 0.1841, 0.6409), Au at (0.0000, 0.3066, 0.7372) and Au at (0.5000, 0.0986, 0.2919).

11.
Density functional theory data (PBE-GGA) for a relaxed structure of AcYHo3Tm.

The formation energy comes out at 0.112 eV per atom. Its total magnetic moment is 0.000 μB/atom.

The space group is C2/m (No. 12) and the conventional cell measures 17.0239, 5.5119 and 8.6899 Å, with angles of 90.00, 93.33 and 90.00 degrees. The asymmetric unit holds Ac at (0.0995, 0.0000, 0.0916), Y at (0.0845, 0.5000, 0.3982), Ho at (0.0597, 0.0000, 0.6502), Ho at (0.1141, 0.5000, 0.8232), Ho at (0.2495, 0.0000, 0.8323) and Tm at (0.2235, 0.0000, 0.4207).

12.
Density functional theory data (PBE-GGA) for a relaxed structure of BaTl2RhF8.

Its total magnetic moment is 0.014 μB/atom. Its formation energy without anion corrections is -2452 kJ/mol of formula units.

The space group is P-3m1 (No. 164) and the conventional cell measures 5.7264, 5.7264 and 7.5113 Å, with angles of 90.00, 90.00 and 120.00 degrees. The asymmetric unit holds Ba at (0.0000, 0.0000, 0.0000), Tl at (0.3333, 0.6667, 0.3356), Rh at (0.0000, 0.0000, 0.5000), F at (0.1546, 0.3092, 0.6676) and F at (0.3333, 0.6667, 0.0286).

Q: Which value of total magnetic moment does entry 8 give?
A: 0.000 μB/atom